The following is a GGA-PBE calculation of KHoSe2 after structural relaxation, from Alexandria via LeMat-Bulk.

Unit cell a=8.1847 b=8.1847 c=8.1847 alpha=29.55 beta=29.55 gamma=29.55
Closest atoms and distances in Å follow each position.
Sites, in units of the cell vectors:
K (0.0000, 0.0000, 0.0000)  6 Se 3.31-3.39
Ho (0.8308, 0.8308, 0.8308)  6 Se 2.88-2.89
Se (0.2318, 0.2318, 0.2318)  3 Ho 2.89
Se (0.4300, 0.4300, 0.4300)  3 Ho 2.88

Output
The calculated volume is 29.5 A^3/atom. The uncorrected formation energy is -1.74 eV/atom.

***

The following is a GGA-PBE calculation of YRh2Pb2 after structural relaxation, from Alexandria via LeMat-Bulk.

Unit cell a=8.1647 b=8.1647 c=3.1986 alpha=90.00 beta=90.00 gamma=90.00
Closest atoms and distances in Å follow each position.
Sites, in units of the cell vectors:
Y (0.0000, 0.0000, 0.0000)  4 Pb 3.15, 2 Y 3.20, 8 Rh 3.47
Y (0.5000, 0.5000, 0.0000)  4 Pb 3.15, 2 Y 3.20, 8 Rh 3.47
Rh (0.1560, 0.3440, 0.5000)  6 Pb 2.84-2.91
Rh (0.3440, 0.8440, 0.5000)  6 Pb 2.84-2.91
Rh (0.6560, 0.1560, 0.5000)  6 Pb 2.84-2.91
Rh (0.8440, 0.6560, 0.5000)  6 Pb 2.84-2.91
Pb (0.1409, 0.6409, 0.0000)  6 Rh 2.84-2.91, 2 Y 3.15
Pb (0.3591, 0.1409, 0.0000)  6 Rh 2.84-2.91, 2 Y 3.15
Pb (0.6409, 0.8591, 0.0000)  6 Rh 2.84-2.91, 2 Y 3.15
Pb (0.8591, 0.3591, 0.0000)  6 Rh 2.84-2.91, 2 Y 3.15

Output
The calculated volume is 21.3 A^3/atom. For the distance to the lowest polymorph of the same formula, the calculation gives 0.2916 eV/atom. The energy of formation comes out at -0.11 eV/atom.

***

The following is a GGA-PBE calculation of PrCdNi5 after structural relaxation, from Alexandria via LeMat-Bulk.

Unit cell a=8.2377 b=4.9076 c=10.4071 alpha=90.00 beta=90.00 gamma=90.00
Closest atoms and distances in Å follow each position.
Sites, in units of the cell vectors:
Pr (0.2453, 0.2500, 0.0603)  8 Ni 2.85-3.13
Pr (0.2547, 0.7500, 0.5603)  8 Ni 2.85-3.13
Pr (0.7453, 0.2500, 0.4397)  8 Ni 2.85-3.13
Pr (0.7547, 0.7500, 0.9397)  8 Ni 2.85-3.13
Cd (0.1388, 0.7500, 0.8634)  10 Ni 2.71-2.90
Cd (0.3612, 0.2500, 0.3634)  10 Ni 2.71-2.90
Cd (0.6388, 0.7500, 0.6366)  10 Ni 2.71-2.90
Cd (0.8612, 0.2500, 0.1366)  10 Ni 2.71-2.90
Ni (0.0462, 0.7500, 0.1133)  4 Ni 2.42-2.55
Ni (0.0674, 0.5009, 0.3129)  7 Ni 2.42-2.49
Ni (0.0674, 0.9991, 0.3129)  7 Ni 2.42-2.49
Ni (0.0778, 0.2500, 0.5157)  5 Ni 2.44-2.50
Ni (0.1880, 0.2500, 0.7391)  7 Ni 2.47-2.55
Ni (0.3120, 0.7500, 0.2391)  7 Ni 2.47-2.55
Ni (0.4222, 0.7500, 0.0157)  5 Ni 2.44-2.50
Ni (0.4326, 0.0009, 0.8129)  7 Ni 2.42-2.49
Ni (0.4326, 0.4991, 0.8129)  7 Ni 2.42-2.49
Ni (0.4538, 0.2500, 0.6133)  4 Ni 2.42-2.55
Ni (0.5462, 0.7500, 0.3867)  4 Ni 2.42-2.55
Ni (0.5674, 0.5009, 0.1871)  7 Ni 2.42-2.49
Ni (0.5674, 0.9991, 0.1871)  7 Ni 2.42-2.49
Ni (0.5778, 0.2500, 0.9843)  5 Ni 2.44-2.50
Ni (0.6880, 0.2500, 0.7609)  7 Ni 2.47-2.55
Ni (0.8120, 0.7500, 0.2609)  7 Ni 2.47-2.55
Ni (0.9222, 0.7500, 0.4843)  5 Ni 2.44-2.50
Ni (0.9326, 0.0009, 0.6871)  7 Ni 2.42-2.49
Ni (0.9326, 0.4991, 0.6871)  7 Ni 2.42-2.49
Ni (0.9538, 0.2500, 0.8867)  4 Ni 2.42-2.55

Output
The calculated volume is 15.0 A^3/atom. The energy of formation comes out at -0.20 eV/atom.